No. 1
# LaTbSm2Er | Alexandria via LeMat-Bulk | PBE | relaxed
data_LaTbSm2Er
_space_group_name_H-M_alt 'P 1 2/c 1'
_space_group_IT_number 13
_cell_length_a 8.3891
_cell_length_b 6.2753
_cell_length_c 6.7758
_cell_angle_alpha 90.00
_cell_angle_beta 97.83
_cell_angle_gamma 90.00
loop_
_space_group_symop_operation_xyz
'x,y,z'
'-x,-y,-z'
'-x,y,-z+1/2'
'x,-y,z+1/2'
loop_
_atom_site_label
_atom_site_fract_x
_atom_site_fract_y
_atom_site_fract_z
La1 0.0000 0.0000 0.0000
Tb1 0.0000 0.4675 0.2500
Sm1 0.3299 0.3825 0.6123
Er1 0.5000 0.1152 0.2500
# V: 35.34 A^3/atom
# ΔE_f: 0.32 eV per atom
# E_tot: -44.0 eV for the cell shown



No. 2
# LaTb6SmEr2 | Alexandria via LeMat-Bulk | PBE | relaxed
data_LaTb6SmEr2
_space_group_name_H-M_alt 'C 1 2/c 1'
_space_group_IT_number 15
_cell_length_a 9.3405
_cell_length_b 14.9921
_cell_length_c 9.4352
_cell_angle_alpha 90.00
_cell_angle_beta 94.95
_cell_angle_gamma 90.00
loop_
_space_group_symop_operation_xyz
'x,y,z'
'-x,-y,-z'
'-x,y,-z+1/2'
'x,-y,z+1/2'
'x+1/2,y+1/2,z'
'-x+1/2,-y+1/2,-z'
'-x+1/2,y+1/2,-z+1/2'
'x+1/2,-y+1/2,z+1/2'
loop_
_atom_site_label
_atom_site_fract_x
_atom_site_fract_y
_atom_site_fract_z
La1 0.0000 0.0399 0.2500
Tb1 0.0639 0.1770 0.9412
Tb2 0.0915 0.3844 0.1127
Tb3 0.2203 0.2283 0.3213
Sm1 0.0000 0.4110 0.7500
Er1 0.2484 0.4493 0.4459
# V: 32.91 A^3/atom
# ΔE_f: 0.12 eV per atom
# E_tot: -181.4 eV for the cell shown



No. 3
# LaTbSm4Er2 | Alexandria via LeMat-Bulk | PBE | relaxed
data_LaTbSm4Er2
_space_group_name_H-M_alt 'P 1 2/m 1'
_space_group_IT_number 10
_cell_length_a 7.2203
_cell_length_b 7.2048
_cell_length_c 10.1910
_cell_angle_alpha 90.00
_cell_angle_beta 90.06
_cell_angle_gamma 90.00
loop_
_space_group_symop_operation_xyz
'x,y,z'
'-x,-y,-z'
'-x,y,-z'
'x,-y,z'
loop_
_atom_site_label
_atom_site_fract_x
_atom_site_fract_y
_atom_site_fract_z
La1 0.0000 0.0000 0.0000
La2 0.5000 0.0000 0.0000
Tb1 0.0000 0.0000 0.5000
Tb2 0.0000 0.5000 0.0000
Sm1 0.2503 0.2527 0.7465
Sm2 0.2509 0.2526 0.2537
Er1 0.0000 0.5000 0.5000
Er2 0.5000 0.0000 0.5000
Er3 0.5000 0.5000 0.0000
Er4 0.5000 0.5000 0.5000
# V: 33.13 A^3/atom
# ΔE_f: 0.02 eV per atom
# E_tot: -74.9 eV for the cell shown



No. 4
# LaTb3SmEr | Alexandria via LeMat-Bulk | PBE | relaxed
data_LaTb3SmEr
_space_group_name_H-M_alt 'C 1 2/m 1'
_space_group_IT_number 12
_cell_length_a 19.8608
_cell_length_b 5.6937
_cell_length_c 7.0670
_cell_angle_alpha 90.00
_cell_angle_beta 90.87
_cell_angle_gamma 90.00
loop_
_space_group_symop_operation_xyz
'x,y,z'
'-x,-y,-z'
'-x,y,-z'
'x,-y,z'
'x+1/2,y+1/2,z'
'-x+1/2,-y+1/2,-z'
'-x+1/2,y+1/2,-z'
'x+1/2,-y+1/2,z'
loop_
_atom_site_label
_atom_site_fract_x
_atom_site_fract_y
_atom_site_fract_z
La1 0.1449 0.0000 0.0257
Tb1 0.0222 0.0000 0.7355
Tb2 0.1637 0.5000 0.7255
Tb3 0.2201 0.5000 0.2450
Sm1 0.0528 0.5000 0.2680
Er1 0.1492 0.0000 0.4586
# V: 33.29 A^3/atom
# ΔE_f: 0.19 eV per atom
# E_tot: -107.7 eV for the cell shown



No. 5
# La2TbSm2Er | Alexandria via LeMat-Bulk | PBE | relaxed
data_La2TbSm2Er
_space_group_name_H-M_alt 'P m m a'
_space_group_IT_number 51
_cell_length_a 7.1115
_cell_length_b 5.7414
_cell_length_c 9.9379
_cell_angle_alpha 90.00
_cell_angle_beta 90.00
_cell_angle_gamma 90.00
loop_
_space_group_symop_operation_xyz
'x,y,z'
'-x,-y,-z'
'-x+1/2,-y,z'
'x+1/2,y,-z'
'x+1/2,-y,-z'
'-x+1/2,y,z'
'-x,y,-z'
'x,-y,z'
loop_
_atom_site_label
_atom_site_fract_x
_atom_site_fract_y
_atom_site_fract_z
La1 0.0000 0.0000 0.0000
La2 0.2500 0.5000 0.1779
Tb1 0.2500 0.0000 0.6569
Sm1 0.2500 0.0000 0.3327
Sm2 0.2500 0.5000 0.8344
Er1 0.0000 0.5000 0.5000
# V: 33.81 A^3/atom
# ΔE_f: 0.06 eV per atom
# E_tot: -56.3 eV for the cell shown



No. 6
# La4Tb2SmEr2 | Alexandria via LeMat-Bulk | PBE | relaxed
data_La4Tb2SmEr2
_space_group_name_H-M_alt 'C 1 2/m 1'
_space_group_IT_number 12
_cell_length_a 15.4381
_cell_length_b 5.1666
_cell_length_c 8.0966
_cell_angle_alpha 90.00
_cell_angle_beta 108.16
_cell_angle_gamma 90.00
loop_
_space_group_symop_operation_xyz
'x,y,z'
'-x,-y,-z'
'-x,y,-z'
'x,-y,z'
'x+1/2,y+1/2,z'
'-x+1/2,-y+1/2,-z'
'-x+1/2,y+1/2,-z'
'x+1/2,-y+1/2,z'
loop_
_atom_site_label
_atom_site_fract_x
_atom_site_fract_y
_atom_site_fract_z
La1 0.0540 0.0000 0.3294
La2 0.2240 0.5000 0.3317
Tb1 0.1119 0.5000 0.6709
Sm1 0.0000 0.5000 0.0000
Er1 0.1684 0.0000 0.9997
# V: 34.09 A^3/atom
# ΔE_f: 0.03 eV per atom
# E_tot: -85.1 eV for the cell shown



No. 7
# LaTb2Sm6Er | Alexandria via LeMat-Bulk | PBE | relaxed
data_LaTb2Sm6Er
_space_group_name_H-M_alt 'C 1 2/c 1'
_space_group_IT_number 15
_cell_length_a 9.2466
_cell_length_b 15.2377
_cell_length_c 9.6875
_cell_angle_alpha 90.00
_cell_angle_beta 96.86
_cell_angle_gamma 90.00
loop_
_space_group_symop_operation_xyz
'x,y,z'
'-x,-y,-z'
'-x,y,-z+1/2'
'x,-y,z+1/2'
'x+1/2,y+1/2,z'
'-x+1/2,-y+1/2,-z'
'-x+1/2,y+1/2,-z+1/2'
'x+1/2,-y+1/2,z+1/2'
loop_
_atom_site_label
_atom_site_fract_x
_atom_site_fract_y
_atom_site_fract_z
La1 0.0000 0.0265 0.2500
Tb1 0.2480 0.4488 0.4525
Sm1 0.0636 0.1846 0.9440
Sm2 0.0984 0.3920 0.1183
Sm3 0.2122 0.2253 0.3160
Er1 0.0000 0.4098 0.7500
# V: 33.88 A^3/atom
# ΔE_f: 0.12 eV per atom
# E_tot: -183.6 eV for the cell shown



No. 8
# LaTb2Sm6Er3 | Alexandria via LeMat-Bulk | PBE | relaxed
data_LaTb2Sm6Er3
_space_group_name_H-M_alt 'C 1 2/m 1'
_space_group_IT_number 12
_cell_length_a 6.2386
_cell_length_b 10.8056
_cell_length_c 11.9065
_cell_angle_alpha 90.00
_cell_angle_beta 100.05
_cell_angle_gamma 90.00
loop_
_space_group_symop_operation_xyz
'x,y,z'
'-x,-y,-z'
'-x,y,-z'
'x,-y,z'
'x+1/2,y+1/2,z'
'-x+1/2,-y+1/2,-z'
'-x+1/2,y+1/2,-z'
'x+1/2,-y+1/2,z'
loop_
_atom_site_label
_atom_site_fract_x
_atom_site_fract_y
_atom_site_fract_z
La1 0.0000 0.0000 0.0000
Tb1 0.0000 0.3334 0.0000
Sm1 0.2479 0.3328 0.7463
Sm2 0.2494 0.0000 0.7461
Er1 0.0000 0.1671 0.5000
Er2 0.0000 0.5000 0.5000
# V: 32.93 A^3/atom
# ΔE_f: 0.02 eV per atom
# E_tot: -111.9 eV for the cell shown



No. 9
# La2Tb2SmEr | Alexandria via LeMat-Bulk | PBE | relaxed
data_La2Tb2SmEr
_space_group_name_H-M_alt 'P m m a'
_space_group_IT_number 51
_cell_length_a 7.1144
_cell_length_b 5.7300
_cell_length_c 9.9082
_cell_angle_alpha 90.00
_cell_angle_beta 90.00
_cell_angle_gamma 90.00
loop_
_space_group_symop_operation_xyz
'x,y,z'
'-x,-y,-z'
'-x+1/2,-y,z'
'x+1/2,y,-z'
'x+1/2,-y,-z'
'-x+1/2,y,z'
'-x,y,-z'
'x,-y,z'
loop_
_atom_site_label
_atom_site_fract_x
_atom_site_fract_y
_atom_site_fract_z
La1 0.0000 0.0000 0.0000
La2 0.2500 0.5000 0.1788
Tb1 0.2500 0.0000 0.3337
Tb2 0.2500 0.5000 0.8342
Sm1 0.2500 0.0000 0.6579
Er1 0.0000 0.5000 0.5000
# V: 33.66 A^3/atom
# ΔE_f: 0.06 eV per atom
# E_tot: -56.0 eV for the cell shown



No. 10
# La3Tb2Sm6Er | Alexandria via LeMat-Bulk | PBE | relaxed
data_La3Tb2Sm6Er
_space_group_name_H-M_alt 'C 1 2/m 1'
_space_group_IT_number 12
_cell_length_a 6.3011
_cell_length_b 10.9235
_cell_length_c 12.0716
_cell_angle_alpha 90.00
_cell_angle_beta 100.08
_cell_angle_gamma 90.00
loop_
_space_group_symop_operation_xyz
'x,y,z'
'-x,-y,-z'
'-x,y,-z'
'x,-y,z'
'x+1/2,y+1/2,z'
'-x+1/2,-y+1/2,-z'
'-x+1/2,y+1/2,-z'
'x+1/2,-y+1/2,z'
loop_
_atom_site_label
_atom_site_fract_x
_atom_site_fract_y
_atom_site_fract_z
La1 0.0000 0.0000 0.0000
La2 0.0000 0.3334 0.0000
Tb1 0.0000 0.1666 0.5000
Sm1 0.2483 0.0000 0.7442
Sm2 0.2477 0.3336 0.7441
Er1 0.0000 0.5000 0.5000
# V: 34.09 A^3/atom
# ΔE_f: 0.02 eV per atom
# E_tot: -113.3 eV for the cell shown



No. 11
# LaTb5SmEr2 | Alexandria via LeMat-Bulk | PBE | relaxed
data_LaTb5SmEr2
_space_group_name_H-M_alt 'I 4/m c m'
_space_group_IT_number 140
_space_group_name_Hall '-I 4 2c'
_cell_length_a 9.0514
_cell_length_b 9.0514
_cell_length_c 14.6834
_cell_angle_alpha 90.00
_cell_angle_beta 90.00
_cell_angle_gamma 90.00
loop_
_atom_site_label
_atom_site_fract_x
_atom_site_fract_y
_atom_site_fract_z
La1 0.0000 0.0000 0.2500
Tb1 0.0000 0.0000 0.0000
Tb2 0.2017 0.2983 0.1285
Sm1 0.0000 0.5000 0.2500
Er1 0.1120 0.3880 0.5000
# V: 33.42 A^3/atom
# ΔE_f: 0.28 eV per atom
# E_tot: -157.5 eV for the cell shown



No. 12
# La2Tb6Sm3Er | Alexandria via LeMat-Bulk | PBE | relaxed
data_La2Tb6Sm3Er
_space_group_name_H-M_alt 'C 1 2/m 1'
_space_group_IT_number 12
_cell_length_a 6.2496
_cell_length_b 10.8237
_cell_length_c 11.9239
_cell_angle_alpha 90.00
_cell_angle_beta 100.04
_cell_angle_gamma 90.00
loop_
_space_group_symop_operation_xyz
'x,y,z'
'-x,-y,-z'
'-x,y,-z'
'x,-y,z'
'x+1/2,y+1/2,z'
'-x+1/2,-y+1/2,-z'
'-x+1/2,y+1/2,-z'
'x+1/2,-y+1/2,z'
loop_
_atom_site_label
_atom_site_fract_x
_atom_site_fract_y
_atom_site_fract_z
La1 0.0000 0.1662 0.0000
Tb1 0.2479 0.5000 0.7481
Tb2 0.2502 0.1660 0.7485
Sm1 0.0000 0.0000 0.5000
Sm2 0.0000 0.3334 0.5000
Er1 0.0000 0.5000 0.0000
# V: 33.09 A^3/atom
# ΔE_f: 0.02 eV per atom
# E_tot: -112.3 eV for the cell shown